This record from Alexandria describes a geometry-optimized Dy3TmTl2 structure. The functional is PBE-GGA.

Calculated values
* polymorph energy (0 for the lowest one): 57 meV per atom
* total energy: -24.251 eV per formula unit
* ΔH_f (0 K): -1.241 eV/f.u.

Cell and atoms, written as CIF:
```
data_Dy3TmTl2
_chemical_formula_sum 'Dy12 Tm4 Tl8'
_space_group_name_H-M_alt 'I b a m'
_space_group_IT_number 72
_space_group_name_Hall '-I 2 2c'
_cell_length_a 6.5161
_cell_length_b 16.5708
_cell_length_c 6.5123
_cell_angle_alpha 90.00
_cell_angle_beta 90.00
_cell_angle_gamma 90.00
loop_
_atom_site_label
_atom_site_fract_x
_atom_site_fract_y
_atom_site_fract_z
Dy1 0.0000 0.0000 0.2500
Dy2 0.2482 0.3238 0.0000
Tm1 0.0000 0.5000 0.2500
Tl1 0.2487 0.3637 0.5000
```

=====

This record from Alexandria describes a geometry-optimized AcThAs2Rh5 structure. The functional is PBE-GGA.

Calculated values
* total energy: -62.556 eV per formula unit
* ΔH_f (0 K): -4.971 eV/f.u.

Cell and atoms, written as CIF:
```
data_AcThAs2Rh5
_chemical_formula_sum 'Ac1 Th1 As2 Rh5'
_space_group_name_H-M_alt 'P 4/m m m'
_space_group_IT_number 123
_space_group_name_Hall '-P 4 2'
_cell_length_a 4.1470
_cell_length_b 4.1470
_cell_length_c 11.3812
_cell_angle_alpha 90.00
_cell_angle_beta 90.00
_cell_angle_gamma 90.00
loop_
_atom_site_label
_atom_site_fract_x
_atom_site_fract_y
_atom_site_fract_z
Ac1 0.0000 0.0000 0.0000
Th1 0.5000 0.5000 0.5000
As1 0.5000 0.5000 0.2105
Rh1 0.0000 0.5000 0.3200
Rh2 0.5000 0.5000 0.0000
```

=====

This record from Alexandria describes a geometry-optimized Li2PbO structure. The functional is PBE-GGA.

Calculated values
* polymorph energy (0 for the lowest one): 816 meV per atom
* formation energy from raw total energies: -0.2041 eV/atom
* total energy: -13.311 eV per formula unit

Cell and atoms, written as CIF:
```
data_Li2PbO
_chemical_formula_sum 'Li8 Pb4 O4'
_space_group_name_H-M_alt 'F m -3 m'
_space_group_IT_number 225
_space_group_name_Hall '-F 4 2 3'
_cell_length_a 6.3340
_cell_length_b 6.3340
_cell_length_c 6.3340
_cell_angle_alpha 90.00
_cell_angle_beta 90.00
_cell_angle_gamma 90.00
loop_
_atom_site_label
_atom_site_fract_x
_atom_site_fract_y
_atom_site_fract_z
Li1 0.2500 0.2500 0.2500
Pb1 0.0000 0.0000 0.0000
O1 0.0000 0.0000 0.5000
```

=====

This record from Alexandria describes a geometry-optimized PmPaPt2O8 structure. The functional is PBE-GGA.

Calculated values
* formation energy from raw total energies: -1.7193 eV/atom
* total energy: -86.625 eV per formula unit

Cell and atoms, written as CIF:
```
data_PmPaPt2O8
_chemical_formula_sum 'Pm2 Pa2 Pt4 O16'
_space_group_name_H-M_alt 'I -4 m 2'
_space_group_IT_number 119
_space_group_name_Hall 'I -4 -2'
_cell_length_a 7.1051
_cell_length_b 7.1051
_cell_length_c 7.1071
_cell_angle_alpha 90.00
_cell_angle_beta 90.00
_cell_angle_gamma 90.00
loop_
_atom_site_label
_atom_site_fract_x
_atom_site_fract_y
_atom_site_fract_z
Pm1 0.0000 0.0000 0.0000
Pa1 0.0000 0.5000 0.2500
Pt1 0.0000 0.0000 0.5000
Pt2 0.0000 0.5000 0.7500
O1 0.0000 0.1808 0.2920
O2 0.0000 0.3334 0.9676
```

=====

This record from Alexandria describes a geometry-optimized LiDyCo structure. The functional is PBE-GGA.

Calculated values
* polymorph energy (0 for the lowest one): 0 meV per atom
* total energy: -13.885 eV per formula unit
* ΔH_f (0 K): -0.264 eV/f.u.

Cell and atoms, written as CIF:
```
data_LiDyCo
_chemical_formula_sum 'Li2 Dy2 Co2'
_space_group_name_H-M_alt 'P 1 21/m 1'
_space_group_IT_number 11
_space_group_name_Hall '-P 2yb'
_cell_length_a 3.8031
_cell_length_b 3.8507
_cell_length_c 8.7397
_cell_angle_alpha 90.00
_cell_angle_beta 102.54
_cell_angle_gamma 90.00
loop_
_atom_site_label
_atom_site_fract_x
_atom_site_fract_y
_atom_site_fract_z
Li1 0.2045 0.2500 0.4082
Dy1 0.4102 0.2500 0.8198
Co1 0.0335 0.2500 0.0675
```

=====

This record from Alexandria describes a geometry-optimized AlZnMo structure. The functional is PBE-GGA.

Calculated values
* polymorph energy (0 for the lowest one): 565 meV per atom
* total energy: -14.260 eV per formula unit
* ΔH_f (0 K): 1.588 eV/f.u.

Cell and atoms, written as CIF:
```
data_AlZnMo
_chemical_formula_sum 'Al4 Zn4 Mo4'
_space_group_name_H-M_alt 'F -4 3 m'
_space_group_IT_number 216
_space_group_name_Hall 'F -4 2 3'
_cell_length_a 5.8930
_cell_length_b 5.8930
_cell_length_c 5.8930
_cell_angle_alpha 90.00
_cell_angle_beta 90.00
_cell_angle_gamma 90.00
loop_
_atom_site_label
_atom_site_fract_x
_atom_site_fract_y
_atom_site_fract_z
Al1 0.0000 0.0000 0.0000
Zn1 0.2500 0.2500 0.7500
Mo1 0.0000 0.0000 0.5000
```

=====

This record from Alexandria describes a geometry-optimized Mg4Re3 structure. The functional is PBE-GGA.

Calculated values
* polymorph energy (0 for the lowest one): 0 meV per atom
* total energy: -42.023 eV per formula unit
* ΔH_f (0 K): 1.700 eV/f.u.

Cell and atoms, written as CIF:
```
data_Mg4Re3
_chemical_formula_sum 'Mg4 Re3'
_space_group_name_H-M_alt 'P 6/m m m'
_space_group_IT_number 191
_space_group_name_Hall '-P 6 2'
_cell_length_a 5.2504
_cell_length_b 5.2504
_cell_length_c 5.2138
_cell_angle_alpha 90.00
_cell_angle_beta 90.00
_cell_angle_gamma 120.00
loop_
_atom_site_label
_atom_site_fract_x
_atom_site_fract_y
_atom_site_fract_z
Mg1 0.0000 0.0000 0.2413
Mg2 0.3333 0.6667 0.5000
Re1 0.0000 0.5000 0.0000
```

=====

This record from Alexandria describes a geometry-optimized Sm2TcO8 structure. The functional is PBE-GGA.

Calculated values
* polymorph energy (0 for the lowest one): 0 meV per atom
* formation energy from raw total energies: -1.7556 eV/atom
* total energy: -78.781 eV per formula unit

Cell and atoms, written as CIF:
```
data_Sm2TcO8
_chemical_formula_sum 'Sm4 Tc2 O16'
_space_group_name_H-M_alt 'C 1 2/m 1'
_space_group_IT_number 12
_space_group_name_Hall '-C 2y'
_cell_length_a 7.2398
_cell_length_b 9.5345
_cell_length_c 5.0768
_cell_angle_alpha 90.00
_cell_angle_beta 131.77
_cell_angle_gamma 90.00
loop_
_atom_site_label
_atom_site_fract_x
_atom_site_fract_y
_atom_site_fract_z
Sm1 0.0000 0.2000 0.0000
Tc1 0.0000 0.5000 0.5000
O1 0.0000 0.2782 0.5000
O2 0.1854 0.0000 0.3667
O3 0.1953 0.4249 0.0050
```

=====

This record from Alexandria describes a geometry-optimized NdMg2Bi structure. The functional is PBE-GGA.

Calculated values
* polymorph energy (0 for the lowest one): 0 meV per atom
* total energy: -13.395 eV per formula unit
* ΔH_f (0 K): -1.557 eV/f.u.

Cell and atoms, written as CIF:
```
data_NdMg2Bi
_chemical_formula_sum 'Nd1 Mg2 Bi1'
_space_group_name_H-M_alt 'P 4/m m m'
_space_group_IT_number 123
_space_group_name_Hall '-P 4 2'
_cell_length_a 4.6573
_cell_length_b 4.6573
_cell_length_c 5.0433
_cell_angle_alpha 90.00
_cell_angle_beta 90.00
_cell_angle_gamma 90.00
loop_
_atom_site_label
_atom_site_fract_x
_atom_site_fract_y
_atom_site_fract_z
Nd1 0.0000 0.0000 0.0000
Mg1 0.0000 0.5000 0.5000
Bi1 0.5000 0.5000 0.0000
```

=====

This record from Alexandria describes a geometry-optimized ScHPd3 structure. The functional is PBE-GGA.

Calculated values
* polymorph energy (0 for the lowest one): 188 meV per atom
* total energy: -27.823 eV per formula unit

Cell and atoms, written as CIF:
```
data_ScHPd3
_chemical_formula_sum 'Sc4 H4 Pd12'
_space_group_name_H-M_alt 'C 1 2/m 1'
_space_group_IT_number 12
_space_group_name_Hall '-C 2y'
_cell_length_a 12.6194
_cell_length_b 3.7060
_cell_length_c 6.5110
_cell_angle_alpha 90.00
_cell_angle_beta 110.08
_cell_angle_gamma 90.00
loop_
_atom_site_label
_atom_site_fract_x
_atom_site_fract_y
_atom_site_fract_z
Sc1 0.0507 0.0000 0.2986
H1 0.1331 0.5000 0.0203
Pd1 0.1084 0.5000 0.6527
Pd2 0.1637 0.0000 0.9968
Pd3 0.2135 0.5000 0.3317
```

=====

This record from Alexandria describes a geometry-optimized RbTaBe structure. The functional is PBE-GGA.

Calculated values
* polymorph energy (0 for the lowest one): 627 meV per atom
* total energy: -13.311 eV per formula unit
* ΔH_f (0 K): 3.235 eV/f.u.

Cell and atoms, written as CIF:
```
data_RbTaBe
_chemical_formula_sum 'Rb4 Ta4 Be4'
_space_group_name_H-M_alt 'P n m a'
_space_group_IT_number 62
_space_group_name_Hall '-P 2ac 2n'
_cell_length_a 8.7072
_cell_length_b 3.5637
_cell_length_c 11.6640
_cell_angle_alpha 90.00
_cell_angle_beta 90.00
_cell_angle_gamma 90.00
loop_
_atom_site_label
_atom_site_fract_x
_atom_site_fract_y
_atom_site_fract_z
Rb1 0.0345 0.2500 0.1729
Ta1 0.0922 0.2500 0.5429
Be1 0.1824 0.7500 0.4124
```

=====

This record from Alexandria describes a geometry-optimized NaNbHg structure. The functional is PBE-GGA.

Calculated values
* polymorph energy (0 for the lowest one): 108 meV per atom
* total energy: -11.066 eV per formula unit
* ΔH_f (0 K): 0.624 eV/f.u.

Cell and atoms, written as CIF:
```
data_NaNbHg
_chemical_formula_sum 'Na4 Nb4 Hg4'
_space_group_name_H-M_alt 'P n m a'
_space_group_IT_number 62
_space_group_name_Hall '-P 2ac 2n'
_cell_length_a 8.3064
_cell_length_b 2.9568
_cell_length_c 10.6272
_cell_angle_alpha 90.00
_cell_angle_beta 90.00
_cell_angle_gamma 90.00
loop_
_atom_site_label
_atom_site_fract_x
_atom_site_fract_y
_atom_site_fract_z
Na1 0.1557 0.2500 0.0846
Nb1 0.0523 0.2500 0.3997
Hg1 0.1562 0.2500 0.7928
```

=====

How do the records compare in density of states at the Fermi level? In the order shown, they have 1.2967; 0.6142; 0.4747; 0.0180; 0.9515; 0.9468; 0.6877; 0.3075; 0.7613; 0.4121; 1.2377; 0.8093 states/eV per atom.